1.
DFT (PBE) results for a relaxed structure of Li2Tl2O3.

**Formation energy from raw total energies**: -1.07 eV per atom
**Total energy**: -4.417 eV/atom

Lattice parameters (Å, degrees): 5.565 6.302 5.838 90.00 67.94 90.00
Positions (direct):
Li 0.533 0.389 0.667
Li 0.967 0.889 0.333
Li 0.033 0.111 0.667
Li 0.467 0.611 0.333
Tl 0.940 0.609 0.783
Tl 0.440 0.891 0.783
Tl 0.560 0.109 0.217
Tl 0.060 0.391 0.217
O 0.500 0.500 0.000
O 0.000 0.000 0.000
O 0.749 0.136 0.525
O 0.751 0.636 0.475
O 0.249 0.364 0.525
O 0.251 0.864 0.475

2.
DFT (PBE) results for a relaxed structure of LiTlO2.

**Formation energy from raw total energies**: -1.12 eV per atom
**Polymorph energy (0 for the lowest one)**: 33 meV per atom
**Total energy**: -4.667 eV/atom

Lattice parameters (Å, degrees): 3.411 5.440 6.865 54.58 104.38 89.99
Positions (direct):
Tl 0.214 0.659 0.932
Tl 0.450 0.877 0.403
O 0.123 0.517 0.673
O 0.617 0.019 0.661
O 0.585 0.768 0.167
O 0.889 0.268 0.167
Li 0.936 0.349 0.447
Li 0.656 0.187 0.888

3.
DFT (PBE) results for a relaxed structure of LiTlO2.

**Formation energy from raw total energies**: -1.08 eV per atom
**Polymorph energy (0 for the lowest one)**: 73 meV per atom
**Total energy**: -4.626 eV/atom

Lattice parameters (Å, degrees): 5.598 3.225 10.683 90.00 90.00 90.00
Positions (direct):
Tl 0.396 0.250 0.365
Tl 0.104 0.750 0.865
Tl 0.604 0.750 0.635
Tl 0.896 0.250 0.135
O 0.755 0.250 0.502
O 0.745 0.750 0.002
O 0.245 0.750 0.498
O 0.255 0.250 0.998
O 0.400 0.250 0.737
O 0.100 0.750 0.237
O 0.600 0.750 0.263
O 0.900 0.250 0.763
Li 0.103 0.250 0.603
Li 0.397 0.750 0.103
Li 0.897 0.750 0.397
Li 0.603 0.250 0.897

4.
DFT (PBE) results for a relaxed structure of LiTlO2.

**Formation energy from raw total energies**: -0.79 eV per atom
**Polymorph energy (0 for the lowest one)**: 356 meV per atom
**Total energy**: -4.344 eV/atom

Lattice parameters (Å, degrees): 5.933 5.933 5.148 54.82 54.82 90.00
Positions (direct):
Tl 0.750 0.250 0.500
Tl 0.250 0.750 0.500
O 0.804 0.304 0.000
O 0.196 0.696 0.000
O 0.304 0.196 0.000
O 0.696 0.804 0.000
Li 0.750 0.750 0.500
Li 0.250 0.250 0.500

5.
DFT (PBE) results for a relaxed structure of LiTlO2.

**Formation energy from raw total energies**: -1.11 eV per atom
**Polymorph energy (0 for the lowest one)**: 41 meV per atom
**Total energy**: -4.659 eV/atom

Lattice parameters (Å, degrees): 4.636 4.636 5.691 114.03 114.03 90.00
Positions (direct):
Tl 0.375 0.625 0.750
Tl 0.625 0.375 0.250
O 0.618 0.868 0.237
O 0.132 0.382 0.263
O 0.868 0.618 0.737
O 0.382 0.132 0.763
Li 0.875 0.125 0.750
Li 0.125 0.875 0.250

6.
DFT (PBE) results for a relaxed structure of LiTl2O3.

**Formation energy from raw total energies**: -0.87 eV per atom
**Polymorph energy (0 for the lowest one)**: 0 meV per atom
**Total energy**: -4.456 eV/atom

Lattice parameters (Å, degrees): 3.468 4.697 5.936 113.31 106.98 90.00
Positions (direct):
Li 0.500 0.500 0.500
Tl 0.838 0.838 0.177
Tl 0.162 0.162 0.823
O 0.835 0.335 0.169
O 0.165 0.665 0.831
O 0.500 0.000 0.500

7.
DFT (PBE) results for a relaxed structure of LiTlO2.

**Formation energy from raw total energies**: -0.97 eV per atom
**Polymorph energy (0 for the lowest one)**: 177 meV per atom
**Total energy**: -4.522 eV/atom

Lattice parameters (Å, degrees): 3.455 3.455 5.768 90.00 90.00 120.00
Positions (direct):
Tl 0.333 0.667 0.455
O 0.333 0.667 0.816
O 0.667 0.333 0.277
Li 0.000 0.000 0.907

8.
DFT (PBE) results for a relaxed structure of LiTl3O.

**Formation energy from raw total energies**: -0.13 eV per atom
**Polymorph energy (0 for the lowest one)**: 0 meV per atom
**Total energy**: -2.926 eV/atom

Lattice parameters (Å, degrees): 5.107 5.107 5.107 90.00 90.00 90.00
Positions (direct):
Tl 0.000 0.500 0.000
Tl 0.000 0.000 0.500
Tl 0.500 0.000 0.000
O 0.000 0.000 0.000
Li 0.500 0.500 0.500

- formation energy from raw total energies of number 2 (LiTlO2)?
  -1.12 eV per atom

- Which value of total energy does entry 7 give?
  -4.522 eV/atom

Copy entry 7 word for word.
DFT (PBE) results for a relaxed structure of LiTlO2.

**Formation energy from raw total energies**: -0.97 eV per atom
**Polymorph energy (0 for the lowest one)**: 177 meV per atom
**Total energy**: -4.522 eV/atom

Lattice parameters (Å, degrees): 3.455 3.455 5.768 90.00 90.00 120.00
Positions (direct):
Tl 0.333 0.667 0.455
O 0.333 0.667 0.816
O 0.667 0.333 0.277
Li 0.000 0.000 0.907